Record 1
8
Lattice="-2.112 2.112 9.606 2.112 -2.112 9.606 2.112 2.112 -9.606" Properties=species:S:1:pos:R:3 comment="LiMg2Ge (PBE, relaxed)" rho_g_cm3=2.48 space_group="I-42d (122)" dos_ef_per_ev_fu=2.01 delta_e_f_mev_per_atom=102 pbc="T T T"
Li 0.000 0.000 0.000
Li 0.000 2.112 4.803
Mg 1.056 -1.033 7.204
Mg 1.079 1.056 2.401
Mg 1.056 3.144 -2.401
Mg 1.033 1.056 12.007
Ge 2.112 0.000 4.803
Ge 0.000 0.000 9.606


Record 2
10
Lattice="2.769 -5.843 0.000 2.769 5.843 0.000 0.000 0.000 4.901" Properties=species:S:1:pos:R:3 comment="ThCo3Os (PBE, relaxed)" rho_g_cm3=12.54 space_group="Cmcm (63)" dos_ef_per_ev_fu=7.76 delta_e_f_mev_per_atom=-15 pbc="T T T"
Th 2.769 4.563 3.676
Th 2.769 -4.563 1.225
Co 1.572 1.913 3.676
Co 2.769 2.234 1.225
Co 1.572 -1.913 1.225
Co 3.967 1.913 3.676
Co 2.769 -2.234 3.676
Co 3.967 -1.913 1.225
Os 2.769 0.000 0.000
Os 2.769 0.000 2.451